1.
Crystalline MnFeI2O at its relaxed geometry. Source: Alexandria via LeMat-Bulk, functional PBE with a Hubbard U.

Output
D(E_F): 0.392 states/eV per atom
ρ: 5.23 g cm⁻³
Excess energy over the best structure of this formula in the dataset: 0.00 kJ/mol of atoms

a b c (Å): 5.6852 5.6852 3.7406
angles (deg): 90.00 90.00 90.00
Space group P4/mmm (No. 123)
Asymmetric unit:
Mn 0.0000 0.0000 0.0000 x1
Fe 0.5000 0.5000 0.5000 x1
I 0.0000 0.5000 0.5000 x2
O 0.5000 0.5000 0.0000 x1

2.
Crystalline MnFeIO2 at its relaxed geometry. Source: Alexandria via LeMat-Bulk, functional PBE with a Hubbard U.

Output
D(E_F): 0.206 states/eV per atom
ρ: 5.05 g cm⁻³
Final energy: -0.3823 Ry/atom

a b c (Å): 3.8952 3.8952 5.8481
angles (deg): 90.00 90.00 90.00
Space group P4/mmm (No. 123)
Asymmetric unit:
Mn 0.0000 0.0000 0.0000 x1
Fe 0.5000 0.5000 0.5000 x1
I 0.0000 0.0000 0.5000 x1
O 0.0000 0.5000 0.0000 x2

3.
Crystalline MnFeIO2 at its relaxed geometry. Source: Alexandria via LeMat-Bulk, functional PBE with a Hubbard U.

Output
D(E_F): 0.349 states/eV per atom
ρ: 4.97 g cm⁻³
Final energy: -0.3823 Ry/atom

a b c (Å): 3.9553 3.9553 5.7649
angles (deg): 90.00 90.00 90.00
Space group P4/mmm (No. 123)
Asymmetric unit:
Mn 0.0000 0.0000 0.0000 x1
Fe 0.5000 0.5000 0.5000 x1
I 0.5000 0.5000 0.0000 x1
O 0.0000 0.5000 0.5000 x2

4.
Crystalline MnFeI2O at its relaxed geometry. Source: Alexandria via LeMat-Bulk, functional PBE with a Hubbard U.

Output
D(E_F): 0.604 states/eV per atom
ρ: 5.04 g cm⁻³
Excess energy over the best structure of this formula in the dataset: 9.66 kJ/mol of atoms

a b c (Å): 5.7770 5.7770 3.7598
angles (deg): 90.00 90.00 90.00
Space group P4/mmm (No. 123)
Asymmetric unit:
Mn 0.0000 0.0000 0.0000 x1
Fe 0.5000 0.5000 0.5000 x1
I 0.0000 0.5000 0.0000 x2
O 0.0000 0.0000 0.5000 x1

5.
Crystalline Mn2FeIO8 at its relaxed geometry. Source: Alexandria via LeMat-Bulk, functional PBE with a Hubbard U.

Output
ρ: 5.17 g cm⁻³
Final energy: -0.4467 Ry/atom

a b c (Å): 4.7908 5.9075 4.7968
angles (deg): 90.00 96.00 90.00
Space group P2/m (No. 10)
Asymmetric unit:
Mn 0.0000 0.2408 0.0000 x2
Fe 0.5000 0.0000 0.5000 x1
I 0.5000 0.5000 0.5000 x1
O 0.1974 0.0000 0.1958 x2
O 0.1965 0.5000 0.1950 x2
O 0.3228 0.2583 0.6757 x4

| no. | size of the total moment (μB/atom) |
| --- | --- |
| 1 | 1.77 |
| 2 | 1.69 |
| 3 | 2.06 |
| 4 | 1.72 |
| 5 | 0.75 |